# 1
The following is a GGA-PBE calculation of a relaxed structure of IrPt2Rh6, from Alexandria. Values from VASP.

## Properties
energy above the lowest structure with this stoichiometry: 0.122 eV per atom
energy of formation from the pure elements: 302 meV/atom
calculated volume: 15.88 A^3/atom
calculated density: 13.94 g/cm³
DOS at the Fermi energy: 13.83 states/eV/cell

Geometry as Quantum ESPRESSO input:
```
&SYSTEM
  ibrav = 0, nat = 9, ntyp = 3
/
ATOMIC_SPECIES
Ir 192.22 Ir.upf
Pt 195.08 Pt.upf
Rh 102.91 Rh.upf
ATOMIC_POSITIONS angstrom
Ir 1.220 7.732 10.615
Pt 3.924 5.191 7.938
Pt 0.752 3.431 4.765
Rh 2.667 1.559 5.098
Rh 2.068 7.033 7.380
Rh 1.602 4.666 9.158
Rh 2.557 5.372 5.515
Rh 2.132 3.210 7.139
Rh 3.095 3.737 3.461
CELL_PARAMETERS angstrom
3.747 0.001 0.982
0.922 6.324 4.113
0.084 2.061 7.315
```


# 2
The following is a GGA-PBE calculation of a relaxed structure of Dy4SbTeSe2, from Alexandria. Values from VASP.

## Properties
raw total energy: -5.5723 eV/atom
calculated volume: 26.68 A^3/atom
calculated density: 8.23 g/cm³
DOS at the Fermi energy: 3.56 states/eV/cell

Geometry as Quantum ESPRESSO input:
```
&SYSTEM
  ibrav = 0, nat = 8, ntyp = 4
/
ATOMIC_SPECIES
Dy 162.50 Dy.upf
Sb 121.76 Sb.upf
Te 127.60 Te.upf
Se 78.96 Se.upf
ATOMIC_POSITIONS angstrom
Dy 0.000 7.595 4.877
Dy 4.208 2.319 1.786
Dy 2.104 6.310 1.574
Dy 2.104 3.605 5.089
Sb 0.000 4.957 3.331
Te 2.104 3.677 -0.087
Se 0.000 2.561 6.837
Se 2.104 1.281 3.419
CELL_PARAMETERS angstrom
4.208 0.000 0.000
0.000 7.353 -0.174
0.000 2.561 6.837
```


- Look up the calculated volume of the second one.
  26.68 A^3/atom


- The highest DOS at the Fermi energy belongs to which entry?
  IrPt2Rh6


- Which of these has the highest calculated density?
  IrPt2Rh6